A plane-wave DFT calculation with PBE was carried out for a geometry-optimized CsZn6Ga12 structure.

Cell: 7.6518 7.6518 7.6518 Å, 106.03 106.03 106.03°
Closest atoms and distances in Å follow each position.
Positions (direct):
1 Cs 0.0000 0.0000 0.0000  6 Ga 3.51, 6 Zn 3.74
2 Zn 0.2425 0.7281 0.7281  5 Ga 2.57-2.71
3 Zn 0.2719 0.2719 0.7575  5 Ga 2.57-2.71
4 Zn 0.2719 0.7575 0.2719  5 Ga 2.57-2.71
5 Zn 0.7281 0.2425 0.7281  5 Ga 2.57-2.71
6 Zn 0.7281 0.7281 0.2425  5 Ga 2.57-2.71
7 Zn 0.7575 0.2719 0.2719  5 Ga 2.57-2.71
8 Ga 0.1075 0.5000 0.8925  4 Zn 2.57-2.71, 1 Ga 2.63
9 Ga 0.1075 0.8925 0.5000  4 Zn 2.57-2.71, 1 Ga 2.63
10 Ga 0.1888 0.4263 0.4263  1 Zn 2.61, 2 Ga 2.90
11 Ga 0.4263 0.1888 0.4263  1 Zn 2.61, 2 Ga 2.90
12 Ga 0.4263 0.4263 0.1888  1 Zn 2.61, 2 Ga 2.90
13 Ga 0.5000 0.1075 0.8925  4 Zn 2.57-2.71, 1 Ga 2.63
14 Ga 0.5000 0.8925 0.1075  4 Zn 2.57-2.71, 1 Ga 2.63
15 Ga 0.5737 0.5737 0.8112  1 Zn 2.61, 2 Ga 2.90
16 Ga 0.5737 0.8112 0.5737  1 Zn 2.61, 2 Ga 2.90
17 Ga 0.8112 0.5737 0.5737  1 Zn 2.61, 2 Ga 2.90
18 Ga 0.8925 0.1075 0.5000  4 Zn 2.57-2.71, 1 Ga 2.63
19 Ga 0.8925 0.5000 0.1075  4 Zn 2.57-2.71, 1 Ga 2.63

Output
- VASP energy: -2.323 eV/atom
- DFT formation energy: 0.036 eV per atom
- ρ: 5.9 Mg/m³
- Fermi-level density of states: 8.38 states/eV per cell



A plane-wave DFT calculation with PBE was carried out for a geometry-optimized Nd8SmDy4 structure.

Cell: 7.9064 7.9064 7.9064 Å, 90.91 90.91 90.91°
Closest atoms and distances in Å follow each position.
Positions (direct):
1 Nd 0.2364 0.2364 0.7537  4 Dy 3.30-3.48, 1 Sm 3.58
2 Nd 0.2364 0.7537 0.2364  4 Dy 3.30-3.48, 1 Sm 3.58
3 Nd 0.2380 0.2380 0.2380  4 Dy 3.21-3.50, 1 Sm 3.53
4 Nd 0.2463 0.7636 0.7636  4 Dy 3.30-3.48, 1 Sm 3.58
5 Nd 0.7537 0.2364 0.2364  4 Dy 3.30-3.48, 1 Sm 3.58
6 Nd 0.7620 0.7620 0.7620  4 Dy 3.21-3.50, 1 Sm 3.53
7 Nd 0.7636 0.2463 0.7636  4 Dy 3.30-3.48, 1 Sm 3.58
8 Nd 0.7636 0.7636 0.2463  4 Dy 3.30-3.48, 1 Sm 3.58
9 Sm 0.5000 0.5000 0.5000  8 Nd 3.53-3.58, 6 Dy 3.95
10 Dy 0.0000 0.0000 0.0000  8 Nd 3.21-3.30
11 Dy 0.0000 0.5000 0.5000  8 Nd 3.46-3.50
12 Dy 0.5000 0.0000 0.5000  8 Nd 3.46-3.50
13 Dy 0.5000 0.5000 0.0000  8 Nd 3.46-3.50

Output
- VASP energy: -4.245 eV/atom
- DFT formation energy: 0.468 eV per atom
- ρ: 6.6 Mg/m³
- Fermi-level density of states: 22.73 states/eV per cell



A plane-wave DFT calculation with PBE was carried out for a geometry-optimized Tb3Pr5Y4 structure.

Cell: 6.4339 6.4339 13.3027 Å, 103.11 103.11 50.91°
Closest atoms and distances in Å follow each position.
Positions (direct):
1 Tb 0.0000 0.0000 0.0000  2 Pr 2.77
2 Tb 0.4555 0.4555 0.2175  1 Pr 3.07
3 Tb 0.5445 0.5445 0.7825  1 Pr 3.07
4 Pr 0.1730 0.1730 0.2639  4 Tb 3.49-3.69, 3 Y 3.67-3.82, 1 Pr 3.72
5 Pr 0.3619 0.3619 0.5349  1 Tb 3.44, 4 Pr 3.56-3.75, 5 Y 3.66-3.81
6 Pr 0.5000 0.5000 0.0000  4 Tb 2.77-3.07, 2 Y 3.07
7 Pr 0.6381 0.6381 0.4651  1 Tb 3.44, 4 Pr 3.56-3.75, 5 Y 3.66-3.81
8 Pr 0.8270 0.8270 0.7361  4 Tb 3.49-3.69, 3 Y 3.67-3.82, 1 Pr 3.72
9 Y 0.0890 0.0890 0.6297  2 Y 3.52-3.55, 2 Tb 3.55, 8 Pr 3.66-3.91
10 Y 0.2319 0.2319 0.8961  1 Pr 3.07, 1 Tb 3.32
11 Y 0.7681 0.7681 0.1039  1 Pr 3.07, 1 Tb 3.32
12 Y 0.9110 0.9110 0.3703  2 Y 3.52-3.55, 2 Tb 3.55, 8 Pr 3.66-3.91

Output
- VASP energy: -5.089 eV/atom
- DFT formation energy: 0.215 eV per atom
- ρ: 6.2 Mg/m³
- Fermi-level density of states: 15.81 states/eV per cell



A plane-wave DFT calculation with PBE was carried out for a geometry-optimized LaSc2Te structure.

Cell: 3.6647 3.6647 30.9022 Å, 90.00 90.00 120.00°
Closest atoms and distances in Å follow each position.
Positions (direct):
1 La 0.0000 0.0000 0.0000  2 Sc 3.21
2 La 0.3333 0.6667 0.6667  2 Sc 3.21
3 La 0.6667 0.3333 0.3333  2 Sc 3.21
4 Sc 0.0000 0.0000 0.1037  3 Te 2.87, 1 La 3.21
5 Sc 0.0000 0.0000 0.8963  3 Te 2.87, 1 La 3.21
6 Sc 0.3333 0.6667 0.5629  3 Te 2.87, 1 La 3.21
7 Sc 0.3333 0.6667 0.7704  3 Te 2.87, 1 La 3.21
8 Sc 0.6667 0.3333 0.2296  3 Te 2.87, 1 La 3.21
9 Sc 0.6667 0.3333 0.4371  3 Te 2.87, 1 La 3.21
10 Te 0.0000 0.0000 0.5000  6 Sc 2.87
11 Te 0.3333 0.6667 0.1667  6 Sc 2.87
12 Te 0.6667 0.3333 0.8333  6 Sc 2.87

Output
- VASP energy: -5.363 eV/atom
- ρ: 4.9 Mg/m³
- Fermi-level density of states: 22.22 states/eV per cell
- Energy relative to the elements, uncorrected: -180 meV/atom



A plane-wave DFT calculation with PBE was carried out for a geometry-optimized Cu6Pt5Au structure.

Cell: 6.2154 6.2154 7.2740 Å, 90.00 90.00 143.01°
Closest atoms and distances in Å follow each position.
Positions (direct):
1 Cu 0.0000 0.0000 0.2473  6 Pt 2.66-2.70, 2 Au 2.70, 4 Cu 2.80
2 Cu 0.0000 0.0000 0.7527  6 Pt 2.66-2.70, 2 Au 2.70, 4 Cu 2.80
3 Cu 0.3319 0.6681 0.2476  7 Pt 2.66-2.69, 1 Au 2.70, 4 Cu 2.76-2.80
4 Cu 0.3319 0.6681 0.7524  7 Pt 2.66-2.69, 1 Au 2.70, 4 Cu 2.76-2.80
5 Cu 0.6681 0.3319 0.2476  7 Pt 2.66-2.69, 1 Au 2.70, 4 Cu 2.76-2.80
6 Cu 0.6681 0.3319 0.7524  7 Pt 2.66-2.69, 1 Au 2.70, 4 Cu 2.76-2.80
7 Pt 0.1661 0.8339 0.0000  8 Cu 2.66-2.67, 4 Pt 2.78-2.79
8 Pt 0.1683 0.8317 0.5000  8 Cu 2.66-2.70, 2 Pt 2.76, 2 Au 2.80
9 Pt 0.5000 0.5000 0.0000  8 Cu 2.67-2.68, 4 Pt 2.78
10 Pt 0.8317 0.1683 0.5000  8 Cu 2.66-2.70, 2 Pt 2.76, 2 Au 2.80
11 Pt 0.8339 0.1661 0.0000  8 Cu 2.66-2.67, 4 Pt 2.78-2.79
12 Au 0.5000 0.5000 0.5000  8 Cu 2.70, 4 Pt 2.80

Output
- VASP energy: -4.964 eV/atom
- DFT formation energy: -0.125 eV per atom
- ρ: 15.3 Mg/m³
- Fermi-level density of states: 13.17 states/eV per cell



A plane-wave DFT calculation with PBE was carried out for a geometry-optimized Ac2LaErBi4 structure.

Cell: 8.1912 4.7379 8.1942 Å, 90.00 109.48 90.00°
Closest atoms and distances in Å follow each position.
Positions (direct):
1 Ac 0.0000 0.0000 0.0000  6 Bi 3.46
2 Ac 0.5000 0.5000 0.0000  6 Bi 3.39-3.40
3 La 0.0000 0.5000 0.5000  6 Bi 3.30
4 Er 0.5000 0.0000 0.5000  6 Bi 3.23-3.24
5 Bi 0.2514 0.0000 0.7346  1 Er 3.23, 2 La 3.30, 3 Ac 3.40-3.46
6 Bi 0.2633 0.5000 0.2701  2 Er 3.24, 1 La 3.30, 3 Ac 3.39-3.46
7 Bi 0.7367 0.5000 0.7299  2 Er 3.24, 1 La 3.30, 3 Ac 3.39-3.46
8 Bi 0.7486 0.0000 0.2654  1 Er 3.23, 2 La 3.30, 3 Ac 3.40-3.46

Output
- VASP energy: -5.103 eV/atom
- DFT formation energy: -0.949 eV per atom
- ρ: 8.8 Mg/m³
- Fermi-level density of states: 0.94 states/eV per cell



A plane-wave DFT calculation with PBE was carried out for a geometry-optimized La6ZnRh structure.

Cell: 5.2335 5.2335 18.0200 Å, 90.00 90.00 90.00°
Closest atoms and distances in Å follow each position.
Positions (direct):
1 La 0.0000 0.0000 0.2471  12 La 3.70-3.82
2 La 0.0000 0.0000 0.7529  12 La 3.70-3.82
3 La 0.0000 0.5000 0.0982  2 Rh 3.16, 2 Zn 3.16
4 La 0.0000 0.5000 0.4018  2 Rh 3.16, 2 Zn 3.16
5 La 0.0000 0.5000 0.5982  2 Rh 3.16, 2 Zn 3.16
6 La 0.0000 0.5000 0.9018  2 Rh 3.16, 2 Zn 3.16
7 La 0.5000 0.0000 0.0982  2 Rh 3.16, 2 Zn 3.16
8 La 0.5000 0.0000 0.4018  2 Rh 3.16, 2 Zn 3.16
9 La 0.5000 0.0000 0.5982  2 Rh 3.16, 2 Zn 3.16
10 La 0.5000 0.0000 0.9018  2 Rh 3.16, 2 Zn 3.16
11 La 0.5000 0.5000 0.2529  12 La 3.70-3.82
12 La 0.5000 0.5000 0.7471  12 La 3.70-3.82
13 Zn 0.0000 0.0000 0.0000  8 La 3.16
14 Zn 0.5000 0.5000 0.5000  8 La 3.16
15 Rh 0.0000 0.0000 0.5000  8 La 3.16
16 Rh 0.5000 0.5000 0.0000  8 La 3.16

Output
- VASP energy: -4.996 eV/atom
- Energy above the most stable polymorph in this dataset: 0 meV/atom
- DFT formation energy: -0.222 eV per atom
- ρ: 6.7 Mg/m³
- Fermi-level density of states: 22.62 states/eV per cell



A plane-wave DFT calculation with PBE was carried out for a geometry-optimized K2H7Pd structure.

Cell: 5.3414 5.3414 5.3414 Å, 109.35 109.35 109.72°
Closest atoms and distances in Å follow each position.
Positions (direct):
1 K 0.2500 0.7500 0.5000  8 H 2.72
2 K 0.7500 0.2500 0.5000  8 H 2.72
3 H 0.0000 0.0000 0.0000  2 H 1.10
4 H 0.1788 0.1788 0.0000  1 H 1.10
5 H 0.3111 0.3111 0.6222  1 Pd 1.65
6 H 0.3111 0.6889 0.0000  1 Pd 1.65
7 H 0.6889 0.3111 0.0000  1 Pd 1.65
8 H 0.6889 0.6889 0.3778  1 Pd 1.65
9 H 0.8212 0.8212 0.0000  1 H 1.10
10 Pd 0.5000 0.5000 0.0000  4 H 1.65

Output
- VASP energy: -3.175 eV/atom
- ρ: 2.7 Mg/m³
- Fermi-level density of states: 2.56 states/eV per cell



A plane-wave DFT calculation with PBE was carried out for a geometry-optimized AcLa3Th2Pt6 structure.

Cell: 7.3752 7.3752 7.3741 Å, 99.59 99.59 119.91°
Closest atoms and distances in Å follow each position.
Positions (direct):
1 Ac 0.0000 0.0000 0.0000  6 Pt 3.07
2 La 0.1653 0.8347 0.5000  6 Pt 2.97-3.08
3 La 0.5000 0.5000 0.5000  6 Pt 2.96-3.08
4 La 0.8347 0.1653 0.5000  6 Pt 2.97-3.08
5 Th 0.3329 0.6671 0.0000  6 Pt 2.94-2.95
6 Th 0.6671 0.3329 0.0000  6 Pt 2.94-2.95
7 Pt 0.0815 0.4284 0.2440  2 Th 2.94-2.95, 3 La 2.97-3.08, 1 Ac 3.07
8 Pt 0.2658 0.2658 0.7568  2 Th 2.95, 3 La 2.96-3.07, 1 Ac 3.07
9 Pt 0.4284 0.0815 0.2440  2 Th 2.94-2.95, 3 La 2.97-3.08, 1 Ac 3.07
10 Pt 0.5716 0.9185 0.7560  2 Th 2.94-2.95, 3 La 2.97-3.08, 1 Ac 3.07
11 Pt 0.7342 0.7342 0.2432  2 Th 2.95, 3 La 2.96-3.07, 1 Ac 3.07
12 Pt 0.9185 0.5716 0.7560  2 Th 2.94-2.95, 3 La 2.97-3.08, 1 Ac 3.07

Output
- VASP energy: -7.024 eV/atom
- DFT formation energy: -1.193 eV per atom
- ρ: 11.5 Mg/m³
- Fermi-level density of states: 6.78 states/eV per cell



A plane-wave DFT calculation with PBE was carried out for a geometry-optimized Y3Co2Si4 structure.

Cell: 5.7161 5.7161 8.0514 Å, 99.76 99.76 40.03°
Closest atoms and distances in Å follow each position.
Positions (direct):
1 Y 0.0000 0.0000 0.0000  8 Si 3.01-3.18, 4 Co 3.04
2 Y 0.3343 0.3343 0.3406  4 Co 3.03-3.09, 8 Si 3.04-3.24
3 Y 0.6657 0.6657 0.6594  4 Co 3.03-3.09, 8 Si 3.04-3.24
4 Co 0.3923 0.3923 0.7226  3 Si 2.23
5 Co 0.6077 0.6077 0.2774  3 Si 2.23
6 Si 0.0564 0.0564 0.3802  2 Co 2.23, 1 Si 2.46
7 Si 0.2822 0.2822 0.9322  1 Co 2.23, 2 Si 2.40
8 Si 0.7178 0.7178 0.0678  1 Co 2.23, 2 Si 2.40
9 Si 0.9436 0.9436 0.6198  2 Co 2.23, 1 Si 2.46

Output
- VASP energy: -6.875 eV/atom
- Energy above the most stable polymorph in this dataset: 45 meV/atom
- ρ: 5.0 Mg/m³
- Fermi-level density of states: 7.36 states/eV per cell
- Energy relative to the elements, uncorrected: -731 meV/atom



A plane-wave DFT calculation with PBE was carried out for a geometry-optimized Mg2AlTl structure.

Cell: 3.2346 3.2346 8.8079 Å, 90.00 90.00 90.00°
Closest atoms and distances in Å follow each position.
Positions (direct):
1 Mg 0.0000 0.0000 0.0000  4 Al 3.00, 8 Mg 3.17-3.23
2 Mg 0.5000 0.5000 0.2485  8 Mg 3.17-3.23, 4 Tl 3.27
3 Al 0.5000 0.5000 0.7794  4 Mg 3.00, 4 Al 3.23, 4 Tl 3.27
4 Tl 0.0000 0.0000 0.5145  4 Tl 3.23, 4 Al 3.27, 4 Mg 3.27

Output
- VASP energy: -2.219 eV/atom
- DFT formation energy: 0.106 eV per atom
- ρ: 5.0 Mg/m³
- Fermi-level density of states: 1.27 states/eV per cell



A plane-wave DFT calculation with PBE was carried out for a geometry-optimized Tb2Al3Zn2 structure.

Cell: 9.7030 9.7030 6.9629 Å, 90.00 90.00 153.87°
Closest atoms and distances in Å follow each position.
Positions (direct):
1 Tb 0.0472 0.9528 0.7500  9 Al 3.13-3.29
2 Tb 0.1590 0.8410 0.2500  6 Al 3.13-3.15, 6 Zn 3.13-3.20
3 Tb 0.8410 0.1590 0.7500  6 Al 3.13-3.15, 6 Zn 3.13-3.20
4 Tb 0.9528 0.0472 0.2500  9 Al 3.13-3.29
5 Al 0.2214 0.7786 0.7500  6 Zn 2.64-2.79
6 Al 0.4385 0.5615 0.5685  2 Al 2.51-2.53, 1 Zn 2.53
7 Al 0.4385 0.5615 0.9315  2 Al 2.51-2.53, 1 Zn 2.53
8 Al 0.5615 0.4385 0.0685  2 Al 2.51-2.53, 1 Zn 2.53
9 Al 0.5615 0.4385 0.4315  2 Al 2.51-2.53, 1 Zn 2.53
10 Al 0.7786 0.2214 0.2500  6 Zn 2.64-2.79
11 Zn 0.3135 0.6865 0.0623  4 Al 2.53-2.79, 1 Zn 2.61
12 Zn 0.3135 0.6865 0.4377  4 Al 2.53-2.79, 1 Zn 2.61
13 Zn 0.6865 0.3135 0.5623  4 Al 2.53-2.79, 1 Zn 2.61
14 Zn 0.6865 0.3135 0.9377  4 Al 2.53-2.79, 1 Zn 2.61

Output
- VASP energy: -3.699 eV/atom
- Energy above the most stable polymorph in this dataset: 10 meV/atom
- DFT formation energy: -0.408 eV per atom
- ρ: 6.1 Mg/m³
- Fermi-level density of states: 5.52 states/eV per cell